The following is a DFT calculation (PBE) of a relaxed Ba2SrIn3Hg12 crystal.

Lattice parameters (Å, degrees): 9.3886 9.3886 9.3886 63.92 63.92 63.92
With the nearest neighbours (Å) after each atom.
Fractional coordinates of all 18 atoms:
Ba (0.0914, 0.0914, 0.0914)  6 Hg 3.36
Ba (0.9086, 0.9086, 0.9086)  6 Hg 3.36
Sr (0.5000, 0.5000, 0.5000)  12 Hg 3.46-3.57
In (0.0000, 0.5000, 0.5000)  6 Hg 2.94-3.04
In (0.5000, 0.0000, 0.5000)  6 Hg 2.94-3.04
In (0.5000, 0.5000, 0.0000)  6 Hg 2.94-3.04
Hg (0.0750, 0.6640, 0.6640)  1 In 3.04, 1 Ba 3.36, 1 Hg 3.39
Hg (0.2405, 0.2405, 0.6750)  2 In 2.94
Hg (0.2405, 0.6750, 0.2405)  2 In 2.94
Hg (0.3250, 0.7595, 0.7595)  2 In 2.94
Hg (0.3360, 0.3360, 0.9250)  1 In 3.04, 1 Ba 3.36, 1 Hg 3.39
Hg (0.3360, 0.9250, 0.3360)  1 In 3.04, 1 Ba 3.36, 1 Hg 3.39
Hg (0.6640, 0.0750, 0.6640)  1 In 3.04, 1 Ba 3.36, 1 Hg 3.39
Hg (0.6640, 0.6640, 0.0750)  1 In 3.04, 1 Ba 3.36, 1 Hg 3.39
Hg (0.6750, 0.2405, 0.2405)  2 In 2.94
Hg (0.7595, 0.3250, 0.7595)  2 In 2.94
Hg (0.7595, 0.7595, 0.3250)  2 In 2.94
Hg (0.9250, 0.3360, 0.3360)  1 In 3.04, 1 Ba 3.36, 1 Hg 3.39

Values from the calculation:
The value obtained for the formation energy is -2.409 kcal/mol of atoms. The space group is No. 166.


The following is a DFT calculation (PBE) of a relaxed Ba3Sr3InHg2 crystal.

Lattice parameters (Å, degrees): 8.8321 8.8321 5.6571 90.00 90.00 120.00
With the nearest neighbours (Å) after each atom.
Fractional coordinates of all 9 atoms:
Ba (0.0000, 0.5874, 0.0000)  1 In 3.64, 4 Hg 3.89, 2 Sr 4.07
Ba (0.4126, 0.4126, 0.0000)  1 In 3.64, 4 Hg 3.89, 2 Sr 4.07
Ba (0.5874, 0.0000, 0.0000)  1 In 3.64, 4 Hg 3.89, 2 Sr 4.07
Sr (0.0000, 0.2563, 0.5000)  2 Hg 3.34, 2 In 3.62
Sr (0.2563, 0.0000, 0.5000)  2 Hg 3.34, 2 In 3.62
Sr (0.7437, 0.7437, 0.5000)  2 Hg 3.34, 2 In 3.62
In (0.0000, 0.0000, 0.0000)  6 Sr 3.62, 3 Ba 3.64
Hg (0.3333, 0.6667, 0.5000)  3 Sr 3.34
Hg (0.6667, 0.3333, 0.5000)  3 Sr 3.34

Values from the calculation:
The value obtained for the formation energy is -7.779 kcal/mol of atoms. The space group is No. 189.


The following is a DFT calculation (PBE) of a relaxed BaTbInHg crystal.

Lattice parameters (Å, degrees): 5.6721 5.6721 5.6721 60.00 60.00 60.00
With the nearest neighbours (Å) after each atom.
Fractional coordinates of all 4 atoms:
Ba (0.0000, 0.0000, 0.0000)  4 In 3.47, 4 Hg 3.47
Tb (0.5000, 0.5000, 0.5000)  4 In 3.47, 4 Hg 3.47
In (0.7500, 0.7500, 0.7500)  4 Tb 3.47, 4 Ba 3.47
Hg (0.2500, 0.2500, 0.2500)  4 Ba 3.47, 4 Tb 3.47

Values from the calculation:
The value obtained for the formation energy is -7.774 kcal/mol of atoms. The space group is No. 216.